No. 1
This record from the Alexandria database describes crystalline Zr2Zn12Cu at its relaxed geometry. The functional is PBE.

Properties
Space-group type: P4/nbm, No. 125
Formation enthalpy at 0 K in eV per atom: -0.046
Electronic total energy in eV per cell: -74.4

a b c (Å): 5.577 5.577 15.948
angles (deg): 90.00 90.00 90.00
Fractional coordinates of all 30 atoms:
Zr1 0.250 0.750 0.243
Zr2 0.250 0.750 0.757
Zr3 0.750 0.250 0.243
Zr4 0.750 0.250 0.757
Zn1 0.000 0.000 0.092
Zn2 0.000 0.000 0.908
Zn3 0.000 0.500 0.092
Zn4 0.000 0.500 0.908
Zn5 0.084 0.584 0.430
Zn6 0.084 0.916 0.570
Zn7 0.250 0.250 0.190
Zn8 0.250 0.250 0.336
Zn9 0.250 0.250 0.664
Zn10 0.250 0.250 0.810
Zn11 0.416 0.584 0.570
Zn12 0.416 0.916 0.430
Zn13 0.500 0.000 0.092
Zn14 0.500 0.000 0.908
Zn15 0.500 0.500 0.092
Zn16 0.500 0.500 0.908
Zn17 0.584 0.084 0.570
Zn18 0.584 0.416 0.430
Zn19 0.750 0.750 0.190
Zn20 0.750 0.750 0.336
Zn21 0.750 0.750 0.664
Zn22 0.750 0.750 0.810
Zn23 0.916 0.084 0.430
Zn24 0.916 0.416 0.570
Cu1 0.250 0.750 0.000
Cu2 0.750 0.250 0.000


No. 2
This record from the Alexandria database describes crystalline SrInGaSe2 at its relaxed geometry. The functional is PBE.

Properties
Space-group type: P4/mmm, No. 123
Electronic total energy in eV per cell: -14.1

a b c (Å): 5.383 5.383 6.035
angles (deg): 90.00 90.00 90.00
Fractional coordinates of all 5 atoms:
Sr1 0.000 0.000 0.000
In1 0.000 0.000 0.500
Ga1 0.500 0.500 0.000
Se1 0.000 0.500 0.500
Se2 0.500 0.000 0.500


No. 3
This record from the Alexandria database describes crystalline Ba4NaCa2 at its relaxed geometry. The functional is PBE.

Properties
Space-group type: P2/m, No. 10
Formation enthalpy at 0 K in eV per atom: 0.143
Electronic total energy in eV per cell: -12.0

a b c (Å): 7.074 4.035 13.884
angles (deg): 90.00 104.75 90.00
Fractional coordinates of all 7 atoms:
Ba1 0.078 0.000 0.156
Ba2 0.362 0.500 0.726
Ba3 0.638 0.500 0.274
Ba4 0.922 0.000 0.844
Na1 0.500 0.000 0.000
Ca1 0.215 0.500 0.429
Ca2 0.785 0.500 0.571


No. 4
This record from the Alexandria database describes crystalline PmZrTc2 at its relaxed geometry. The functional is PBE.

Properties
Space-group type: Fm-3m, No. 225
Formation enthalpy at 0 K in eV per atom: 0.065
Electronic total energy in eV per cell: -135.1

a b c (Å): 6.782 6.782 6.782
angles (deg): 90.00 90.00 90.00
Fractional coordinates of all 16 atoms:
Pm1 0.000 0.000 0.000
Pm2 0.000 0.500 0.500
Pm3 0.500 0.000 0.500
Pm4 0.500 0.500 0.000
Zr1 0.000 0.000 0.500
Zr2 0.000 0.500 0.000
Zr3 0.500 0.000 0.000
Zr4 0.500 0.500 0.500
Tc1 0.250 0.250 0.250
Tc2 0.250 0.250 0.750
Tc3 0.250 0.750 0.250
Tc4 0.250 0.750 0.750
Tc5 0.750 0.250 0.250
Tc6 0.750 0.250 0.750
Tc7 0.750 0.750 0.250
Tc8 0.750 0.750 0.750


No. 5
This record from the Alexandria database describes crystalline CsAc4Si4 at its relaxed geometry. The functional is PBE.

Properties
Space-group type: P4_2/n, No. 86
Electronic total energy in eV per cell: -82.4

a b c (Å): 10.509 10.509 6.138
angles (deg): 90.00 90.00 90.00
Fractional coordinates of all 18 atoms:
Cs1 0.250 0.250 0.250
Cs2 0.750 0.750 0.750
Ac1 0.116 0.627 0.125
Ac2 0.127 0.884 0.625
Ac3 0.373 0.616 0.625
Ac4 0.384 0.873 0.125
Ac5 0.616 0.127 0.875
Ac6 0.627 0.384 0.375
Ac7 0.873 0.116 0.375
Ac8 0.884 0.373 0.875
Si1 0.061 0.933 0.127
Si2 0.067 0.561 0.627
Si3 0.433 0.939 0.627
Si4 0.439 0.567 0.127
Si5 0.561 0.433 0.873
Si6 0.567 0.061 0.373
Si7 0.933 0.439 0.373
Si8 0.939 0.067 0.873